KMo2Se | PBE | optimized geometry

The structure in POSCAR format:
```
KMo2Se
1.0
5.759 0.000 0.000
0.000 11.772 0.000
-1.082 0.000 2.402
K Mo Se
2 4 2
Direct
0.000 0.000 0.000 K
0.500 0.500 0.000 K
0.250 0.250 0.000 Mo
0.250 0.750 0.000 Mo
0.750 0.250 0.000 Mo
0.750 0.750 0.000 Mo
0.000 0.500 0.000 Se
0.500 0.000 0.000 Se
```

Values from the calculation:
Total moment   0.00 μB/cell
Formation energy from raw total energies   0.971 eV per atom
Energy above the most stable polymorph in this dataset   0.677 eV/atom
Fermi-level density of states   7.50 states/eV/cell